# 1
A geometry-optimized BeAl2Ag structure. Source: OQMD, functional PBE.

```
4
Lattice="0.000 3.126 3.126 3.126 0.000 3.126 3.126 3.126 0.000" Properties=species:S:1:pos:R:3 pbc="T T T"
Be 0.000 0.000 0.000
Al 3.126 3.126 3.126
Al 4.689 4.689 4.689
Ag 1.563 1.563 1.563
```

Properties
Calculated total energy   -12.75 eV per cell


# 2
A geometry-optimized BeAlCoAg structure. Source: OQMD, functional PBE.

```
4
Lattice="0.000 2.919 2.919 2.919 0.000 2.919 2.919 2.919 0.000" Properties=species:S:1:pos:R:3 pbc="T T T"
Be 0.000 0.000 0.000
Al 2.919 2.919 2.919
Co 4.379 4.379 4.379
Ag 1.460 1.460 1.460
```

Properties
Magnetization   0.3 μB/f.u.
Relative energy among the computed polymorphs   0 meV/atom


# 3
A geometry-optimized BeAlCoAg structure. Source: OQMD, functional PBE.

```
4
Lattice="0.000 2.941 2.941 2.941 0.000 2.941 2.941 2.941 0.000" Properties=species:S:1:pos:R:3 pbc="T T T"
Be 0.000 0.000 0.000
Al 1.470 1.470 1.470
Co 2.941 2.941 2.941
Ag 4.411 4.411 4.411
```

Properties
Magnetization   0.4 μB/f.u.
Relative energy among the computed polymorphs   137 meV/atom


# 4
A geometry-optimized BeAlNiAg structure. Source: OQMD, functional PBE.

```
4
Lattice="0.000 2.961 2.961 2.961 0.000 2.961 2.961 2.961 0.000" Properties=species:S:1:pos:R:3 pbc="T T T"
Be 0.000 0.000 0.000
Al 1.481 1.481 1.481
Ni 2.961 2.961 2.961
Ag 4.442 4.442 4.442
```

Properties
Calculated total energy   -16.01 eV per cell
Magnetization   0.0 μB/f.u.


# 5
A geometry-optimized Al2AgBi structure. Source: OQMD, functional PBE.

```
4
Lattice="0.000 3.518 3.518 3.518 0.000 3.518 3.518 3.518 0.000" Properties=species:S:1:pos:R:3 pbc="T T T"
Al 0.000 0.000 0.000
Al 1.759 1.759 1.759
Ag 5.277 5.277 5.277
Bi 3.518 3.518 3.518
```

Properties
Calculated total energy   -13.32 eV per cell


# 6
A geometry-optimized Li4AlAg2Bi structure. Source: OQMD, functional PBE.

```
8
Lattice="4.533 0.000 0.000 0.000 4.533 0.000 0.000 0.000 6.705" Properties=species:S:1:pos:R:3 pbc="T T T"
Li 0.000 0.000 0.000
Li 0.000 2.267 1.572
Li 2.267 0.000 5.133
Li 2.267 2.267 3.353
Al 2.267 2.267 0.000
Ag 0.000 2.267 5.278
Ag 2.267 0.000 1.427
Bi 0.000 0.000 3.353
```

Properties
Calculated total energy   -23.59 eV per cell